*one*
DFT (PBE) results for a relaxed structure of KMg4.

Calculated values
For the calculated density, the calculation gives 1.41 g/cm3.

Geometry as CIF:
```
data_KMg4
_symmetry_space_group_name_H-M 'P 1'
_symmetry_Int_Tables_number 1
_cell_length_a 7.8432
_cell_length_b 7.8432
_cell_length_c 7.8432
_cell_angle_alpha 144.67
_cell_angle_beta 144.67
_cell_angle_gamma 50.83
loop_
_symmetry_equiv_pos_as_xyz
'x,y,z'
loop_
_atom_site_label
_atom_site_type_symbol
_atom_site_fract_x
_atom_site_fract_y
_atom_site_fract_z
K1 K 0.0000 0.0000 0.0000
Mg1 Mg 0.3912 0.3912 0.0000
Mg2 Mg 0.2500 0.7500 0.5000
Mg3 Mg 0.6088 0.6088 0.0000
Mg4 Mg 0.7500 0.2500 0.5000
```



*two*
DFT (PBE) results for a relaxed structure of KMg4.

Calculated values
For the calculated density, the calculation gives 1.03 g/cm3.

Geometry as CIF:
```
data_KMg4
_symmetry_space_group_name_H-M 'P 1'
_symmetry_Int_Tables_number 1
_cell_length_a 6.5832
_cell_length_b 6.5832
_cell_length_c 6.5832
_cell_angle_alpha 109.47
_cell_angle_beta 109.47
_cell_angle_gamma 109.47
loop_
_symmetry_equiv_pos_as_xyz
'x,y,z'
loop_
_atom_site_label
_atom_site_type_symbol
_atom_site_fract_x
_atom_site_fract_y
_atom_site_fract_z
K1 K 0.0000 0.0000 0.0000
Mg1 Mg 0.0000 0.5000 0.0000
Mg2 Mg 0.5000 0.5000 0.5000
Mg3 Mg 0.0000 0.0000 0.5000
Mg4 Mg 0.5000 0.0000 0.0000
```



Relative energies in meV/atom: *one* 0; *two* 565



*one*
DFT (PBE) results for a relaxed structure of K4Mg5.

Calculated values
For the calculated density, the calculation gives 1.31 g/cm3.

Geometry as CIF:
```
data_K4Mg5
_symmetry_space_group_name_H-M 'P 1'
_symmetry_Int_Tables_number 1
_cell_length_a 10.6149
_cell_length_b 10.6149
_cell_length_c 7.1948
_cell_angle_alpha 90.00
_cell_angle_beta 90.00
_cell_angle_gamma 120.00
loop_
_symmetry_equiv_pos_as_xyz
'x,y,z'
loop_
_atom_site_label
_atom_site_type_symbol
_atom_site_fract_x
_atom_site_fract_y
_atom_site_fract_z
K1 K 0.3280 0.0000 0.2500
K2 K 0.0000 0.0000 0.0000
K3 K 0.0000 0.6720 0.7500
K4 K 0.0000 0.3280 0.2500
K5 K 0.6720 0.6720 0.2500
K6 K 0.6720 0.0000 0.7500
K7 K 0.0000 0.0000 0.5000
K8 K 0.3280 0.3280 0.7500
Mg1 Mg 0.6394 0.6394 0.7500
Mg2 Mg 0.6667 0.3333 0.5000
Mg3 Mg 0.6667 0.3333 0.0000
Mg4 Mg 0.3333 0.6667 0.0000
Mg5 Mg 0.0000 0.6394 0.2500
Mg6 Mg 0.3606 0.3606 0.2500
Mg7 Mg 0.3606 0.0000 0.7500
Mg8 Mg 0.3333 0.6667 0.5000
Mg9 Mg 0.6394 0.0000 0.2500
Mg10 Mg 0.0000 0.3606 0.7500
```



*two*
DFT (PBE) results for a relaxed structure of K4Mg5.

Calculated values
For the calculated density, the calculation gives 1.26 g/cm3.

Geometry as CIF:
```
data_K4Mg5
_symmetry_space_group_name_H-M 'P 1'
_symmetry_Int_Tables_number 1
_cell_length_a 8.7409
_cell_length_b 8.7409
_cell_length_c 8.7409
_cell_angle_alpha 95.22
_cell_angle_beta 95.22
_cell_angle_gamma 144.89
loop_
_symmetry_equiv_pos_as_xyz
'x,y,z'
loop_
_atom_site_label
_atom_site_type_symbol
_atom_site_fract_x
_atom_site_fract_y
_atom_site_fract_z
Mg1 Mg 0.3645 0.6355 0.0000
Mg2 Mg 0.3645 0.3645 0.7291
Mg3 Mg 0.6355 0.3645 0.0000
Mg4 Mg 0.0000 0.0000 0.0000
Mg5 Mg 0.6355 0.6355 0.2709
K1 K 0.3097 0.0000 0.3097
K2 K 0.0000 0.3097 0.3097
K3 K 0.0000 0.6903 0.6903
K4 K 0.6903 0.0000 0.6903
```



Relative energies in meV/atom: *one* 74; *two* 0



*one*
DFT (PBE) results for a relaxed structure of K3Mg2.

Calculated values
For the calculated density, the calculation gives 1.18 g/cm3.

Geometry as CIF:
```
data_K3Mg2
_symmetry_space_group_name_H-M 'P 1'
_symmetry_Int_Tables_number 1
_cell_length_a 17.3780
_cell_length_b 17.3780
_cell_length_c 17.3780
_cell_angle_alpha 13.10
_cell_angle_beta 13.10
_cell_angle_gamma 13.10
loop_
_symmetry_equiv_pos_as_xyz
'x,y,z'
loop_
_atom_site_label
_atom_site_type_symbol
_atom_site_fract_x
_atom_site_fract_y
_atom_site_fract_z
K1 K 0.2075 0.2075 0.2075
K2 K 0.0000 0.0000 0.0000
K3 K 0.7925 0.7925 0.7925
Mg1 Mg 0.6032 0.6032 0.6032
Mg2 Mg 0.3968 0.3968 0.3968
```



*two*
DFT (PBE) results for a relaxed structure of K3Mg2.

Calculated values
For the calculated density, the calculation gives 1.08 g/cm3.

Geometry as CIF:
```
data_K3Mg2
_symmetry_space_group_name_H-M 'P 1'
_symmetry_Int_Tables_number 1
_cell_length_a 6.1637
_cell_length_b 6.1637
_cell_length_c 7.7870
_cell_angle_alpha 90.00
_cell_angle_beta 90.00
_cell_angle_gamma 120.00
loop_
_symmetry_equiv_pos_as_xyz
'x,y,z'
loop_
_atom_site_label
_atom_site_type_symbol
_atom_site_fract_x
_atom_site_fract_y
_atom_site_fract_z
K1 K 0.6667 0.3333 0.6366
K2 K 0.3333 0.6667 0.3634
K3 K 0.0000 0.0000 0.0000
Mg1 Mg 0.6667 0.3333 0.1023
Mg2 Mg 0.3333 0.6667 0.8977
```



Relative energies in meV/atom: *one* 49; *two* 0



*one*
DFT (PBE) results for a relaxed structure of K3Mg4.

Calculated values
For the calculated density, the calculation gives 1.29 g/cm3.

Geometry as CIF:
```
data_K3Mg4
_symmetry_space_group_name_H-M 'P 1'
_symmetry_Int_Tables_number 1
_cell_length_a 6.9370
_cell_length_b 6.9370
_cell_length_c 6.6005
_cell_angle_alpha 90.00
_cell_angle_beta 90.00
_cell_angle_gamma 120.00
loop_
_symmetry_equiv_pos_as_xyz
'x,y,z'
loop_
_atom_site_label
_atom_site_type_symbol
_atom_site_fract_x
_atom_site_fract_y
_atom_site_fract_z
Mg1 Mg 0.0000 0.0000 0.2684
Mg2 Mg 0.0000 0.0000 0.7316
Mg3 Mg 0.6667 0.3333 0.5000
Mg4 Mg 0.3333 0.6667 0.5000
K1 K 0.0000 0.5000 0.0000
K2 K 0.5000 0.5000 0.0000
K3 K 0.5000 0.0000 0.0000
```



*two*
DFT (PBE) results for a relaxed structure of K3Mg4.

Calculated values
For the calculated density, the calculation gives 1.27 g/cm3.

Geometry as CIF:
```
data_K3Mg4
_symmetry_space_group_name_H-M 'P 1'
_symmetry_Int_Tables_number 1
_cell_length_a 17.7836
_cell_length_b 17.7836
_cell_length_c 17.7836
_cell_angle_alpha 167.09
_cell_angle_beta 167.09
_cell_angle_gamma 18.30
loop_
_symmetry_equiv_pos_as_xyz
'x,y,z'
loop_
_atom_site_label
_atom_site_type_symbol
_atom_site_fract_x
_atom_site_fract_y
_atom_site_fract_z
Mg1 Mg 0.5787 0.5787 0.0000
Mg2 Mg 0.4213 0.4213 0.0000
Mg3 Mg 0.8844 0.8844 0.0000
Mg4 Mg 0.1156 0.1156 0.0000
K1 K 0.0000 0.0000 0.0000
K2 K 0.3082 0.3082 0.0000
K3 K 0.6918 0.6918 0.0000
```



Relative energies in meV/atom: *one* 240; *two* 0